# TiPtF

A relaxed structure of TiPtF (GGA-PBE, Alexandria).

Computed properties:
* calculated volume: 80.2 Å³ per cell
* density of states at the Fermi level: 3.79 states/eV per cell
* E: -6.9945 eV per atom
* SG: C2/m, No. 12
* energy relative to the elements, uncorrected: -5.2 eV per formula unit

a = 7.3205 Å, b = 7.3205 Å, c = 4.0151 Å
α = 93.92°, β = 93.92°, γ = 21.93°
With the nearest neighbours (Å) after each atom.
Fractional coordinates of all 6 atoms:
Ti: 0.1089 0.1089 0.2193  3 F 1.99-2.23
Ti: 0.8911 0.8911 0.7807  3 F 1.99-2.23
Pt: 0.3027 0.3027 0.2628  5 Ti 2.74-2.78, 6 Pt 2.78-2.87
Pt: 0.6973 0.6973 0.7372  5 Ti 2.74-2.78, 6 Pt 2.78-2.87
F: 0.0000 0.0000 0.5000  2 Ti 1.99
F: 0.5000 0.5000 0.0000  4 Ti 2.23, 4 F 2.44